Crystalline La8Si3HCl4 at its relaxed geometry. Source: the Alexandria database, functional PBE.

The structure in POSCAR format:
```
La8Si3HCl4
1.0
8.567 0.000 0.000
0.000 8.433 -0.100
-4.284 -4.280 6.061
La Si H Cl
8 3 1 4
direct
0.247 0.738 0.990
0.248 0.738 0.495
0.253 0.260 0.507
0.743 0.738 0.990
0.257 0.262 0.010
0.747 0.740 0.493
0.752 0.262 0.505
0.753 0.262 0.010
0.500 0.500 0.000
0.500 0.500 0.500
0.000 0.500 0.500
0.000 0.500 0.000
0.500 0.000 0.000
0.500 0.000 0.500
0.000 0.000 0.000
0.000 0.000 0.500
```

Output
The theoretical density is 5.1 g/cm3. For the raw total energy, the calculation gives -5.31 eV/atom.